# 1
Entry from Alexandria via LeMat-Bulk: crystalline Y2Nb2W at its relaxed geometry (PBE).

abc: 6.712 6.712 5.180
angles: 90.00 90.00 90.00
Space group P4/mbm (No. 127)
One atom of each set of equivalent atoms:
Y: 0.174 0.326 0.000
Nb: 0.143 0.643 0.500
W: 0.000 0.000 0.500



# 2
Entry from Alexandria via LeMat-Bulk: crystalline YNbZn2W at its relaxed geometry (PBE).

abc: 4.879 4.879 4.833
angles: 90.00 90.00 90.00
Space group P4/mmm (No. 123)
One atom of each set of equivalent atoms:
Y: 0.000 0.000 0.000
Nb: 0.000 0.000 0.500
Zn: 0.000 0.500 0.000
W: 0.500 0.500 0.500



Values of ΔH_f (0 K), in order: 0.3318; 2.2845, all in eV/atom.